Entry 1:
Density functional theory data (PBE-GGA) for an optimized crystal structure of Lu2AlTc.

The structure in CIF format:
```
data_Lu2AlTc
_chemical_formula_sum 'Lu8 Al4 Tc4'
_cell_length_a 6.885
_cell_length_b 6.885
_cell_length_c 6.885
_cell_angle_alpha 90.00
_cell_angle_beta 90.00
_cell_angle_gamma 90.00
_symmetry_space_group_name_H-M 'F m -3 m'
_symmetry_Int_Tables_number 225
_symmetry_space_group_name_Hall '-F 4 2 3'
loop_
_atom_site_label
_atom_site_type_symbol
_atom_site_fract_x
_atom_site_fract_y
_atom_site_fract_z
Lu1 Lu 0.250 0.250 0.250
Al1 Al 0.000 0.000 0.000
Tc1 Tc 0.000 0.000 0.500
```

Properties
Mass density ... 9.66 g/cm³
V ... 20.4 Å³/atom
Total DFT energy (no corrections) ... -6.027 eV/atom
ΔE_f ... -239.7 meV/atom
Excess energy over the best structure of this formula in the dataset ... 12 kJ/mol of formula units



Entry 2:
Density functional theory data (PBE-GGA) for an optimized crystal structure of LuTiAlTc.

The structure in CIF format:
```
data_LuTiAlTc
_chemical_formula_sum 'Lu4 Ti4 Al4 Tc4'
_cell_length_a 6.582
_cell_length_b 6.582
_cell_length_c 6.582
_cell_angle_alpha 90.00
_cell_angle_beta 90.00
_cell_angle_gamma 90.00
_symmetry_space_group_name_H-M 'F -4 3 m'
_symmetry_Int_Tables_number 216
_symmetry_space_group_name_Hall 'F -4 2 3'
loop_
_atom_site_label
_atom_site_type_symbol
_atom_site_fract_x
_atom_site_fract_y
_atom_site_fract_z
Lu1 Lu 0.000 0.000 0.000
Ti1 Ti 0.000 0.000 0.500
Al1 Al 0.250 0.250 0.750
Tc1 Tc 0.250 0.250 0.250
```

Properties
Mass density ... 8.10 g/cm³
V ... 17.8 Å³/atom
Total DFT energy (no corrections) ... -6.902 eV/atom
ΔE_f ... -270.8 meV/atom



Entry 3:
Density functional theory data (PBE-GGA) for an optimized crystal structure of TmLuAlTc.

The structure in CIF format:
```
data_TmLuAlTc
_chemical_formula_sum 'Tm4 Lu4 Al4 Tc4'
_cell_length_a 6.912
_cell_length_b 6.912
_cell_length_c 6.912
_cell_angle_alpha 90.00
_cell_angle_beta 90.00
_cell_angle_gamma 90.00
_symmetry_space_group_name_H-M 'F -4 3 m'
_symmetry_Int_Tables_number 216
_symmetry_space_group_name_Hall 'F -4 2 3'
loop_
_atom_site_label
_atom_site_type_symbol
_atom_site_fract_x
_atom_site_fract_y
_atom_site_fract_z
Tm1 Tm 0.000 0.000 0.000
Lu1 Lu 0.000 0.000 0.500
Al1 Al 0.250 0.250 0.750
Tc1 Tc 0.250 0.250 0.250
```

Properties
Mass density ... 9.43 g/cm³
V ... 20.6 Å³/atom
Total DFT energy (no corrections) ... -6.002 eV/atom
ΔE_f ... -226.3 meV/atom



Entry 4:
Density functional theory data (PBE-GGA) for an optimized crystal structure of LuUAlTc.

The structure in CIF format:
```
data_LuUAlTc
_chemical_formula_sum 'Lu4 U4 Al4 Tc4'
_cell_length_a 6.741
_cell_length_b 6.741
_cell_length_c 6.741
_cell_angle_alpha 90.00
_cell_angle_beta 90.00
_cell_angle_gamma 90.00
_symmetry_space_group_name_H-M 'F -4 3 m'
_symmetry_Int_Tables_number 216
_symmetry_space_group_name_Hall 'F -4 2 3'
loop_
_atom_site_label
_atom_site_type_symbol
_atom_site_fract_x
_atom_site_fract_y
_atom_site_fract_z
Lu1 Lu 0.000 0.000 0.000
U1 U 0.250 0.250 0.250
Al1 Al 0.250 0.250 0.750
Tc1 Tc 0.000 0.000 0.500
```

Properties
Mass density ... 11.66 g/cm³
V ... 19.1 Å³/atom
Total DFT energy (no corrections) ... -7.437 eV/atom
ΔE_f ... 42.4 meV/atom